Density functional theory data (PBE) for a geometry-optimized NaAgSb2Te4 structure.

Values from the calculation:
- uncorrected energy (eV/atom) = -3.328
- total magnetic moment (μB per cell) = 0.00

Cell lengths 8.6601, 8.9858, 12.2698 Å; angles 90.00, 90.00, 90.00 degrees
With the nearest neighbours (Å) after each atom.
Space group Fmmm (No. 69)
Asymmetric unit:
Na  0.0000  0.0000  0.0000 (multiplicity 4)  6 Te 3.12-3.28
Ag  0.0000  0.0000  0.5000 (multiplicity 4)  6 Te 2.85-3.12
Sb  0.2500  0.2500  0.2500 (multiplicity 8)  6 Te 3.07-3.13
Te  0.0000  0.0000  0.2677 (multiplicity 8)  1 Ag 2.85, 4 Sb 3.13
Te  0.2500  0.2500  0.0000 (multiplicity 8)  2 Sb 3.07, 2 Na 3.12, 2 Ag 3.12